First-principles (PBE-GGA) data for Pm2GeBr2 after structural relaxation, as listed in the Open Quantum Materials Database.

Geometry as CIF:
```
data_Pm2GeBr2
_chemical_formula_sum 'Pm6 Ge3 Br6'
_cell_length_a 4.264
_cell_length_b 4.264
_cell_length_c 31.755
_cell_angle_alpha 90.00
_cell_angle_beta 90.00
_cell_angle_gamma 120.00
_symmetry_space_group_name_H-M 'P 1'
_symmetry_Int_Tables_number 1
loop_
_symmetry_equiv_pos_as_xyz
'x,y,z'
loop_
_atom_site_label
_atom_site_fract_x
_atom_site_fract_y
_atom_site_fract_z
Pm1 0.000 0.000 0.114
Pm2 0.000 0.000 0.886
Pm3 0.333 0.667 0.552
Pm4 0.333 0.667 0.781
Pm5 0.667 0.333 0.219
Pm6 0.667 0.333 0.448
Ge1 0.000 0.000 0.500
Ge2 0.333 0.667 0.167
Ge3 0.667 0.333 0.833
Br1 0.000 0.000 0.275
Br2 0.000 0.000 0.725
Br3 0.333 0.667 0.392
Br4 0.333 0.667 0.941
Br5 0.667 0.333 0.059
Br6 0.667 0.333 0.608
```

Values from the calculation:
Total magnetization ... 0.02 μB per formula unit
E_tot ... -4.96 eV per atom
SG ... R-3m (166)

First-principles (PBE-GGA) data for Pr4Ge2Br3 after structural relaxation, as listed in the Open Quantum Materials Database.

Geometry as CIF:
```
data_Pr4Ge2Br3
_chemical_formula_sum 'Pr4 Ge2 Br3'
_cell_length_a 4.334
_cell_length_b 4.334
_cell_length_c 18.060
_cell_angle_alpha 90.32
_cell_angle_beta 90.32
_cell_angle_gamma 60.00
_symmetry_space_group_name_H-M 'P 1'
_symmetry_Int_Tables_number 1
loop_
_symmetry_equiv_pos_as_xyz
'x,y,z'
loop_
_atom_site_label
_atom_site_fract_x
_atom_site_fract_y
_atom_site_fract_z
Pr1 0.005 0.005 0.297
Pr2 0.336 0.336 0.115
Pr3 0.664 0.664 0.885
Pr4 0.995 0.995 0.703
Ge1 0.330 0.330 0.798
Ge2 0.670 0.670 0.202
Br1 0.000 0.000 0.000
Br2 0.340 0.340 0.396
Br3 0.660 0.660 0.604
```

Values from the calculation:
Total magnetization ... 0.01 μB per formula unit
E_tot ... -5.04 eV per atom
SG ... C2/m (12)

First-principles (PBE-GGA) data for PrSmGe2Br2 after structural relaxation, as listed in the Open Quantum Materials Database.

Geometry as CIF:
```
data_PrSmGe2Br2
_chemical_formula_sum 'Pr1 Sm1 Ge2 Br2'
_cell_length_a 4.322
_cell_length_b 4.322
_cell_length_c 11.198
_cell_angle_alpha 90.00
_cell_angle_beta 90.00
_cell_angle_gamma 120.00
_symmetry_space_group_name_H-M 'P 1'
_symmetry_Int_Tables_number 1
loop_
_symmetry_equiv_pos_as_xyz
'x,y,z'
loop_
_atom_site_label
_atom_site_fract_x
_atom_site_fract_y
_atom_site_fract_z
Pr1 0.000 0.000 0.000
Sm1 0.000 0.000 0.644
Ge1 0.333 0.667 0.832
Ge2 0.667 0.333 0.806
Br1 0.333 0.667 0.486
Br2 0.667 0.333 0.163
```

Values from the calculation:
Total magnetization ... 0.00 μB per formula unit
E_tot ... -4.88 eV per atom
SG ... P3m1 (156)

First-principles (PBE-GGA) data for ReGeBr6 after structural relaxation, as listed in the Open Quantum Materials Database.

Geometry as CIF:
```
data_ReGeBr6
_chemical_formula_sum 'Re1 Ge1 Br6'
_cell_length_a 7.271
_cell_length_b 7.271
_cell_length_c 7.271
_cell_angle_alpha 110.47
_cell_angle_beta 110.47
_cell_angle_gamma 110.47
_symmetry_space_group_name_H-M 'P 1'
_symmetry_Int_Tables_number 1
loop_
_symmetry_equiv_pos_as_xyz
'x,y,z'
loop_
_atom_site_label
_atom_site_fract_x
_atom_site_fract_y
_atom_site_fract_z
Re1 0.000 0.000 0.000
Ge1 0.500 0.500 0.500
Br1 0.041 0.381 0.231
Br2 0.231 0.041 0.381
Br3 0.381 0.231 0.041
Br4 0.619 0.769 0.959
Br5 0.769 0.959 0.619
Br6 0.959 0.619 0.769
```

Values from the calculation:
Total magnetization ... 3.00 μB per formula unit
E_tot ... -3.75 eV per atom
SG ... R-3 (148)

First-principles (PBE-GGA) data for Sm4GeBr5 after structural relaxation, as listed in the Open Quantum Materials Database.

Geometry as CIF:
```
data_Sm4GeBr5
_chemical_formula_sum 'Sm4 Ge1 Br5'
_cell_length_a 9.490
_cell_length_b 9.490
_cell_length_c 8.583
_cell_angle_alpha 102.48
_cell_angle_beta 102.48
_cell_angle_gamma 25.22
_symmetry_space_group_name_H-M 'P 1'
_symmetry_Int_Tables_number 1
loop_
_symmetry_equiv_pos_as_xyz
'x,y,z'
loop_
_atom_site_label
_atom_site_fract_x
_atom_site_fract_y
_atom_site_fract_z
Sm1 0.000 0.000 0.226
Sm2 0.000 0.000 0.774
Sm3 0.347 0.347 0.921
Sm4 0.653 0.653 0.079
Ge1 0.500 0.500 0.000
Br1 0.167 0.167 0.329
Br2 0.171 0.171 0.836
Br3 0.500 0.500 0.500
Br4 0.829 0.829 0.164
Br5 0.833 0.833 0.671
```

Values from the calculation:
Total magnetization ... 0.01 μB per formula unit
E_tot ... -4.70 eV per atom
SG ... C2/m (12)

First-principles (PBE-GGA) data for Sm7GeBr12 after structural relaxation, as listed in the Open Quantum Materials Database.

Geometry as CIF:
```
data_Sm7GeBr12
_chemical_formula_sum 'Sm7 Ge1 Br12'
_cell_length_a 9.356
_cell_length_b 9.356
_cell_length_c 9.356
_cell_angle_alpha 107.87
_cell_angle_beta 107.87
_cell_angle_gamma 107.87
_symmetry_space_group_name_H-M 'P 1'
_symmetry_Int_Tables_number 1
loop_
_symmetry_equiv_pos_as_xyz
'x,y,z'
loop_
_atom_site_label
_atom_site_fract_x
_atom_site_fract_y
_atom_site_fract_z
Sm1 0.000 0.000 0.000
Sm2 0.173 0.465 0.390
Sm3 0.390 0.173 0.465
Sm4 0.465 0.390 0.173
Sm5 0.535 0.610 0.827
Sm6 0.610 0.827 0.535
Sm7 0.827 0.535 0.610
Ge1 0.500 0.500 0.500
Br1 0.029 0.110 0.340
Br2 0.110 0.340 0.029
Br3 0.190 0.578 0.728
Br4 0.272 0.810 0.422
Br5 0.340 0.029 0.110
Br6 0.422 0.272 0.810
Br7 0.578 0.728 0.190
Br8 0.660 0.971 0.890
Br9 0.728 0.190 0.578
Br10 0.810 0.422 0.272
Br11 0.890 0.660 0.971
Br12 0.971 0.890 0.660
```

Values from the calculation:
Total magnetization ... 0.05 μB per formula unit
E_tot ... -4.53 eV per atom
SG ... R-3 (148)

First-principles (PBE-GGA) data for SmYGeBr2 after structural relaxation, as listed in the Open Quantum Materials Database.

Geometry as CIF:
```
data_SmYGeBr2
_chemical_formula_sum 'Sm1 Y1 Ge1 Br2'
_cell_length_a 4.193
_cell_length_b 4.193
_cell_length_c 10.160
_cell_angle_alpha 90.00
_cell_angle_beta 90.00
_cell_angle_gamma 120.00
_symmetry_space_group_name_H-M 'P 1'
_symmetry_Int_Tables_number 1
loop_
_symmetry_equiv_pos_as_xyz
'x,y,z'
loop_
_atom_site_label
_atom_site_fract_x
_atom_site_fract_y
_atom_site_fract_z
Sm1 0.000 0.000 0.000
Y1 0.667 0.333 0.320
Ge1 0.333 0.667 0.163
Br1 0.000 0.000 0.491
Br2 0.667 0.333 0.823
```

Values from the calculation:
Total magnetization ... 0.00 μB per formula unit
E_tot ... -5.29 eV per atom
SG ... P3m1 (156)

First-principles (PBE-GGA) data for TbYGeBr2 after structural relaxation, as listed in the Open Quantum Materials Database.

Geometry as CIF:
```
data_TbYGeBr2
_chemical_formula_sum 'Tb1 Y1 Ge1 Br2'
_cell_length_a 4.153
_cell_length_b 4.153
_cell_length_c 10.157
_cell_angle_alpha 90.00
_cell_angle_beta 90.00
_cell_angle_gamma 120.00
_symmetry_space_group_name_H-M 'P 1'
_symmetry_Int_Tables_number 1
loop_
_symmetry_equiv_pos_as_xyz
'x,y,z'
loop_
_atom_site_label
_atom_site_fract_x
_atom_site_fract_y
_atom_site_fract_z
Tb1 0.000 0.000 0.000
Y1 0.667 0.333 0.317
Ge1 0.333 0.667 0.158
Br1 0.000 0.000 0.490
Br2 0.667 0.333 0.826
```

Values from the calculation:
Total magnetization ... 0.00 μB per formula unit
E_tot ... -5.28 eV per atom
SG ... P3m1 (156)

First-principles (PBE-GGA) data for HgHBr after structural relaxation, as listed in the Open Quantum Materials Database.

Geometry as CIF:
```
data_HgHBr
_chemical_formula_sum 'Hg2 H2 Br2'
_cell_length_a 4.130
_cell_length_b 4.130
_cell_length_c 11.046
_cell_angle_alpha 89.57
_cell_angle_beta 89.52
_cell_angle_gamma 60.07
_symmetry_space_group_name_H-M 'P 1'
_symmetry_Int_Tables_number 1
loop_
_symmetry_equiv_pos_as_xyz
'x,y,z'
loop_
_atom_site_label
_atom_site_fract_x
_atom_site_fract_y
_atom_site_fract_z
Hg1 0.000 0.000 0.000
Hg2 0.008 0.007 0.759
H1 0.064 0.051 0.365
H2 0.947 0.980 0.394
Br1 0.333 0.333 0.142
Br2 0.342 0.340 0.617
```

Values from the calculation:
E_tot ... -2.02 eV per atom
SG ... P1 (1)

First-principles (PBE-GGA) data for HgH16Br6N4 after structural relaxation, as listed in the Open Quantum Materials Database.

Geometry as CIF:
```
data_HgH16Br6N4
_chemical_formula_sum 'Hg2 H32 Br12 N8'
_cell_length_a 9.117
_cell_length_b 9.117
_cell_length_c 8.797
_cell_angle_alpha 90.00
_cell_angle_beta 90.00
_cell_angle_gamma 90.00
_symmetry_space_group_name_H-M 'P 1'
_symmetry_Int_Tables_number 1
loop_
_symmetry_equiv_pos_as_xyz
'x,y,z'
loop_
_atom_site_label
_atom_site_fract_x
_atom_site_fract_y
_atom_site_fract_z
Hg1 0.000 0.000 0.000
Hg2 0.500 0.500 0.500
H1 0.055 0.354 0.177
H2 0.055 0.354 0.823
H3 0.145 0.259 0.313
H4 0.145 0.259 0.687
H5 0.146 0.445 0.323
H6 0.146 0.445 0.677
H7 0.241 0.355 0.187
H8 0.241 0.355 0.813
H9 0.259 0.855 0.313
H10 0.259 0.855 0.687
H11 0.354 0.945 0.177
H12 0.354 0.945 0.823
H13 0.355 0.759 0.187
H14 0.355 0.759 0.813
H15 0.445 0.854 0.323
H16 0.445 0.854 0.677
H17 0.555 0.146 0.323
H18 0.555 0.146 0.677
H19 0.645 0.241 0.187
H20 0.645 0.241 0.813
H21 0.646 0.055 0.177
H22 0.646 0.055 0.823
H23 0.741 0.145 0.313
H24 0.741 0.145 0.687
H25 0.759 0.645 0.187
H26 0.759 0.645 0.813
H27 0.854 0.555 0.323
H28 0.854 0.555 0.677
H29 0.855 0.741 0.313
H30 0.855 0.741 0.687
H31 0.945 0.646 0.177
H32 0.945 0.646 0.823
Br1 0.000 0.000 0.294
Br2 0.000 0.000 0.706
Br3 0.129 0.678 0.000
Br4 0.178 0.629 0.500
Br5 0.322 0.129 0.000
Br6 0.371 0.178 0.500
Br7 0.500 0.500 0.206
Br8 0.500 0.500 0.794
Br9 0.629 0.822 0.500
Br10 0.678 0.871 0.000
Br11 0.822 0.371 0.500
Br12 0.871 0.322 0.000
N1 0.146 0.354 0.250
N2 0.146 0.354 0.750
N3 0.354 0.854 0.250
N4 0.354 0.854 0.750
N5 0.646 0.146 0.250
N6 0.646 0.146 0.750
N7 0.854 0.646 0.250
N8 0.854 0.646 0.750
```

Values from the calculation:
Energy above the most stable polymorph in this dataset ... 0.00 kJ per mole of atoms
SG ... P4/mnc (128)

First-principles (PBE-GGA) data for HgH16Br6N4 after structural relaxation, as listed in the Open Quantum Materials Database.

Geometry as CIF:
```
data_HgH16Br6N4
_chemical_formula_sum 'Hg2 H32 Br12 N8'
_cell_length_a 8.994
_cell_length_b 9.173
_cell_length_c 8.850
_cell_angle_alpha 90.00
_cell_angle_beta 90.00
_cell_angle_gamma 90.00
_symmetry_space_group_name_H-M 'P 1'
_symmetry_Int_Tables_number 1
loop_
_symmetry_equiv_pos_as_xyz
'x,y,z'
loop_
_atom_site_label
_atom_site_fract_x
_atom_site_fract_y
_atom_site_fract_z
Hg1 0.000 0.000 0.000
Hg2 0.500 0.500 0.500
H1 0.062 0.335 0.182
H2 0.062 0.335 0.818
H3 0.130 0.433 0.334
H4 0.130 0.433 0.666
H5 0.191 0.261 0.303
H6 0.191 0.261 0.697
H7 0.241 0.396 0.187
H8 0.241 0.396 0.813
H9 0.259 0.896 0.313
H10 0.259 0.896 0.687
H11 0.309 0.761 0.197
H12 0.309 0.761 0.803
H13 0.370 0.933 0.166
H14 0.370 0.933 0.834
H15 0.438 0.835 0.318
H16 0.438 0.835 0.682
H17 0.562 0.165 0.318
H18 0.562 0.165 0.682
H19 0.630 0.067 0.166
H20 0.630 0.067 0.834
H21 0.691 0.239 0.197
H22 0.691 0.239 0.803
H23 0.741 0.104 0.313
H24 0.741 0.104 0.687
H25 0.759 0.604 0.187
H26 0.759 0.604 0.813
H27 0.809 0.739 0.303
H28 0.809 0.739 0.697
H29 0.870 0.567 0.334
H30 0.870 0.567 0.666
H31 0.938 0.665 0.182
H32 0.938 0.665 0.818
Br1 0.000 0.000 0.294
Br2 0.000 0.000 0.706
Br3 0.127 0.677 0.000
Br4 0.178 0.624 0.500
Br5 0.322 0.124 0.000
Br6 0.373 0.177 0.500
Br7 0.500 0.500 0.206
Br8 0.500 0.500 0.794
Br9 0.627 0.823 0.500
Br10 0.678 0.876 0.000
Br11 0.822 0.376 0.500
Br12 0.873 0.323 0.000
N1 0.154 0.356 0.251
N2 0.154 0.356 0.749
N3 0.346 0.856 0.249
N4 0.346 0.856 0.751
N5 0.654 0.144 0.249
N6 0.654 0.144 0.751
N7 0.846 0.644 0.251
N8 0.846 0.644 0.749
```

Values from the calculation:
Energy above the most stable polymorph in this dataset ... 0.21 kJ per mole of atoms
SG ... Pnnm (58)

First-principles (PBE-GGA) data for HgH16Br6N4 after structural relaxation, as listed in the Open Quantum Materials Database.

Geometry as CIF:
```
data_HgH16Br6N4
_chemical_formula_sum 'Hg2 H32 Br12 N8'
_cell_length_a 8.861
_cell_length_b 9.096
_cell_length_c 12.626
_cell_angle_alpha 90.00
_cell_angle_beta 134.48
_cell_angle_gamma 90.00
_symmetry_space_group_name_H-M 'P 1'
_symmetry_Int_Tables_number 1
loop_
_symmetry_equiv_pos_as_xyz
'x,y,z'
loop_
_atom_site_label
_atom_site_fract_x
_atom_site_fract_y
_atom_site_fract_z
Hg1 0.000 0.000 0.000
Hg2 0.000 0.500 0.500
H1 0.053 0.111 0.308
H2 0.053 0.389 0.808
H3 0.111 0.651 0.169
H4 0.111 0.849 0.669
H5 0.119 0.749 0.786
H6 0.119 0.751 0.286
H7 0.206 0.576 0.332
H8 0.206 0.924 0.832
H9 0.232 0.147 0.674
H10 0.232 0.353 0.174
H11 0.441 0.136 0.692
H12 0.441 0.364 0.192
H13 0.449 0.248 0.300
H14 0.449 0.252 0.800
H15 0.471 0.068 0.830
H16 0.471 0.432 0.330
H17 0.529 0.568 0.670
H18 0.529 0.932 0.170
H19 0.551 0.748 0.200
H20 0.551 0.752 0.700
H21 0.559 0.636 0.808
H22 0.559 0.864 0.308
H23 0.768 0.647 0.826
H24 0.768 0.853 0.326
H25 0.794 0.076 0.168
H26 0.794 0.424 0.668
H27 0.881 0.249 0.714
H28 0.881 0.251 0.214
H29 0.889 0.151 0.331
H30 0.889 0.349 0.831
H31 0.947 0.611 0.192
H32 0.947 0.889 0.692
Br1 0.126 0.680 0.997
Br2 0.126 0.820 0.497
Br3 0.294 0.501 0.794
Br4 0.294 0.999 0.294
Br5 0.320 0.118 0.001
Br6 0.320 0.382 0.501
Br7 0.680 0.618 0.499
Br8 0.680 0.882 0.999
Br9 0.706 0.001 0.706
Br10 0.706 0.499 0.206
Br11 0.874 0.180 0.503
Br12 0.874 0.320 0.003
N1 0.096 0.647 0.244
N2 0.096 0.853 0.744
N3 0.397 0.150 0.749
N4 0.397 0.350 0.249
N5 0.603 0.650 0.751
N6 0.603 0.850 0.251
N7 0.904 0.147 0.256
N8 0.904 0.353 0.756
```

Values from the calculation:
Energy above the most stable polymorph in this dataset ... 0.12 kJ per mole of atoms
SG ... P2_1/c (14)

Calculated mass density in order - 5.2 5.4 5.5 4.3 5.5 5.2 5.1 5.3 5.7 3.4 3.4 3.4 g cm⁻³